# LiBe2Pd2 | Alexandria via LeMat-Bulk | PBE-GGA | optimized geometry
# - Formation enthalpy at 0 K: -449.8 meV/atom
# - Total energy: -4.400 eV per atom
# - Spin magnetization: 0.00 Bohr magnetons per cell
# - E above lowest polymorph: 66.7 meV per atom
data_LiBe2Pd2
_chemical_formula_sum 'Li2 Be4 Pd4'
_symmetry_space_group_name_H-M 'P 1'
_symmetry_Int_Tables_number 1
_symmetry_space_group_name_Hall 'P 1'
_cell_length_a 6.721
_cell_length_b 6.721
_cell_length_c 2.728
_cell_angle_alpha 90.00
_cell_angle_beta 90.00
_cell_angle_gamma 90.00
loop_
_atom_site_label
_atom_site_type_symbol
_atom_site_fract_x
_atom_site_fract_y
_atom_site_fract_z
Li1 Li 0.000 0.000 0.000
Li2 Li 0.500 0.500 0.000
Be1 Be 0.138 0.362 0.500
Be2 Be 0.362 0.862 0.500
Be3 Be 0.638 0.138 0.500
Be4 Be 0.862 0.638 0.500
Pd1 Pd 0.156 0.656 0.000
Pd2 Pd 0.344 0.156 0.000
Pd3 Pd 0.656 0.844 0.000
Pd4 Pd 0.844 0.344 0.000